Entry 1:
# MgCd2Se | Alexandria | PBE | optimized geometry
# VASP energy   -8.3 eV/cell
# DOS at the Fermi energy   1.04 states/eV/f.u.
# Formation energy without anion corrections   -336 meV/atom
data_MgCd2Se
_chemical_formula_sum 'Mg1 Cd2 Se1'
_space_group_name_H-M_alt 'P 1 m 1'
_space_group_IT_number 6
_space_group_name_Hall 'P -2y'
_cell_length_a 3.8173
_cell_length_b 3.8502
_cell_length_c 6.7195
_cell_angle_alpha 90.00
_cell_angle_beta 106.27
_cell_angle_gamma 90.00
loop_
_atom_site_label
_atom_site_type_symbol
_atom_site_fract_x
_atom_site_fract_y
_atom_site_fract_z
_atom_site_occupancy
Mg1 Mg 0.0000 0.0000 0.0000 1
Cd1 Cd 0.3295 0.5000 0.6516 1
Cd2 Cd 0.7536 0.0000 0.4970 1
Se1 Se 0.5473 0.5000 0.0969 1

Entry 2:
# MgCdSe2 | Alexandria | PBE | optimized geometry
# VASP energy   -51.2 eV/cell
# DOS at the Fermi energy   0.00 states/eV/f.u.
# Formation energy without anion corrections   -830 meV/atom
data_MgCdSe2
_chemical_formula_sum 'Mg4 Cd4 Se8'
_space_group_name_H-M_alt 'P b c n'
_space_group_IT_number 60
_space_group_name_Hall '-P 2n 2ab'
_cell_length_a 6.5912
_cell_length_b 7.9646
_cell_length_c 6.8893
_cell_angle_alpha 90.00
_cell_angle_beta 90.00
_cell_angle_gamma 90.00
loop_
_atom_site_label
_atom_site_type_symbol
_atom_site_fract_x
_atom_site_fract_y
_atom_site_fract_z
_atom_site_occupancy
Mg1 Mg 0.0000 0.1255 0.2500 1
Cd1 Cd 0.0000 0.3811 0.7500 1
Se1 Se 0.2425 0.1263 0.5831 1

Entry 3:
# MgCdSe2 | Alexandria | PBE | optimized geometry
# VASP energy   -202.6 eV/cell
# DOS at the Fermi energy   0.00 states/eV/f.u.
# Formation energy without anion corrections   -796 meV/atom
data_MgCdSe2
_chemical_formula_sum 'Mg16 Cd16 Se32'
_space_group_name_H-M_alt 'C 1 2/c 1'
_space_group_IT_number 15
_space_group_name_Hall '-C 2yc'
_cell_length_a 13.1214
_cell_length_b 9.5353
_cell_length_c 13.3035
_cell_angle_alpha 90.00
_cell_angle_beta 99.11
_cell_angle_gamma 90.00
loop_
_atom_site_label
_atom_site_type_symbol
_atom_site_fract_x
_atom_site_fract_y
_atom_site_fract_z
_atom_site_occupancy
Mg1 Mg 0.1068 0.0330 0.1126 1
Mg2 Mg 0.1232 0.3423 0.3695 1
Cd1 Cd 0.1325 0.2197 0.8804 1
Cd2 Cd 0.1370 0.4070 0.6302 1
Se1 Se 0.0000 0.0639 0.7500 1
Se2 Se 0.0000 0.4993 0.2500 1
Se3 Se 0.0379 0.1991 0.4998 1
Se4 Se 0.2176 0.2167 0.2410 1
Se5 Se 0.2201 0.4533 0.9846 1

Question: Which value of VASP energy does entry 2 give?
Answer: -51.2 eV/cell

Question: Which value of formation energy without anion corrections does entry 3 give?
Answer: -796 meV/atom

Please write out number 3 again, unchanged.
# MgCdSe2 | Alexandria | PBE | optimized geometry
# VASP energy   -202.6 eV/cell
# DOS at the Fermi energy   0.00 states/eV/f.u.
# Formation energy without anion corrections   -796 meV/atom
data_MgCdSe2
_chemical_formula_sum 'Mg16 Cd16 Se32'
_space_group_name_H-M_alt 'C 1 2/c 1'
_space_group_IT_number 15
_space_group_name_Hall '-C 2yc'
_cell_length_a 13.1214
_cell_length_b 9.5353
_cell_length_c 13.3035
_cell_angle_alpha 90.00
_cell_angle_beta 99.11
_cell_angle_gamma 90.00
loop_
_atom_site_label
_atom_site_type_symbol
_atom_site_fract_x
_atom_site_fract_y
_atom_site_fract_z
_atom_site_occupancy
Mg1 Mg 0.1068 0.0330 0.1126 1
Mg2 Mg 0.1232 0.3423 0.3695 1
Cd1 Cd 0.1325 0.2197 0.8804 1
Cd2 Cd 0.1370 0.4070 0.6302 1
Se1 Se 0.0000 0.0639 0.7500 1
Se2 Se 0.0000 0.4993 0.2500 1
Se3 Se 0.0379 0.1991 0.4998 1
Se4 Se 0.2176 0.2167 0.2410 1
Se5 Se 0.2201 0.4533 0.9846 1